No. 1
InNiIr | PBEsol | optimized geometry

Cell: 2.855 3.620 4.835 Å, 111.98 107.17 90.00°
Element x y z (fractional)
In (0.998, 0.998, 0.995)
Ir (0.677, 0.677, 0.354)
Ni (0.326, 0.326, 0.651)

DFT total energy: -6.237 eV/atom
Energy of formation: 84 meV/atom
SG: Imm2



No. 2
RbSiPtN2 | PBEsol | optimized geometry

Cell: 3.922 3.922 6.565 Å, 90.00 90.00 90.00°
Element x y z (fractional)
Pt (0.500, 0.500, 0.500)
Rb (0.000, 0.000, 0.000)
Si (0.000, 0.000, 0.500)
N (0.000, 0.500, 0.000)
N (0.500, 0.000, 0.000)

DFT total energy: -3.119 eV/atom
Raw formation energy: 3.038 eV/atom
SG: P4/mmm



No. 3
BaLi2Mg2 | PBEsol | optimized geometry

Cell: 5.311 5.311 6.432 Å, 114.38 114.38 90.00°
Element x y z (fractional)
Li (0.250, 0.750, 0.500)
Li (0.750, 0.250, 0.500)
Ba (0.000, 0.000, 0.000)
Mg (0.357, 0.357, 0.715)
Mg (0.643, 0.643, 0.285)

DFT total energy: -1.873 eV/atom
Energy of formation: 31 meV/atom
SG: I4/mmm



No. 4
Gd2MgGe2 | PBEsol | optimized geometry

Cell: 4.222 7.256 7.256 Å, 90.00 90.00 90.00°
Element x y z (fractional)
Mg (0.500, 0.500, 0.500)
Mg (0.500, 0.000, 0.000)
Ge (0.500, 0.123, 0.377)
Ge (0.500, 0.623, 0.123)
Ge (0.500, 0.377, 0.877)
Ge (0.500, 0.877, 0.623)
Gd (0.000, 0.823, 0.323)
Gd (0.000, 0.323, 0.177)
Gd (0.000, 0.177, 0.677)
Gd (0.000, 0.677, 0.823)

DFT total energy: -8.919 eV/atom
Energy of formation: -821 meV/atom
SG: P4/mbm